Computed, not measured: Sn3HS after structural relaxation at the PBE level of DFT.

Density of states at the Fermi level = 1.91 states/eV/cell
Final energy = -3.56 eV per atom
Relative energy among the computed polymorphs = 0 meV per atom

Unit cell a=4.744 b=4.744 c=4.744 alpha=90.00 beta=90.00 gamma=90.00
Space group Pm-3m (No. 221)
Symmetry-distinct sites (fractional):
Sn 0.000 0.000 0.500 [3 per cell]
H 0.000 0.000 0.000 [1 per cell]
S 0.500 0.500 0.500 [1 per cell]